# 1
Compound: NdHoPuTh
Source: Alexandria
Functional: PBE
Structure: optimized geometry

* ΔE_f: 218 meV per atom
* E_tot: -7.556 eV/atom

```
4
Lattice="0.000 3.973 3.973 3.973 0.000 3.973 3.973 3.973 0.000" Properties=species:S:1:pos:R:3 pbc="T T T"
Nd 0.000 0.000 0.000
Ho 1.987 1.987 1.987
Pu 5.960 5.960 5.960
Th 3.973 3.973 3.973
```

=====

# 2
Compound: ZnSiAu3
Source: Alexandria
Functional: PBE
Structure: optimized geometry

* offset from the most stable computed form: 0 meV/atom
* energy relative to the elements, uncorrected: -0.052 eV per atom
* E_tot: -3.358 eV/atom

```
20
Lattice="6.101 0.000 0.000 0.000 5.769 0.000 -2.555 0.000 10.337" Properties=species:S:1:pos:R:3 pbc="T T T"
Zn 0.398 1.285 1.687
Zn -0.880 1.600 6.855
Zn 4.426 4.170 3.482
Zn 3.149 4.484 8.650
Si -0.017 3.208 9.319
Si 1.260 5.446 4.150
Si 2.286 0.324 6.187
Si 3.564 2.561 1.018
Au -0.853 0.890 4.004
Au -2.130 1.995 9.173
Au 0.318 3.292 5.093
Au -0.959 5.361 10.262
Au 1.957 3.409 2.747
Au 0.679 5.245 7.915
Au 2.867 0.524 2.422
Au 1.590 2.360 7.590
Au 4.506 0.408 0.075
Au 3.228 2.477 5.244
Au 5.677 3.775 1.164
Au 4.399 4.879 6.333
```